Density functional theory data (SCAN) for a crystal of TcRu2Au relaxed with PBEsol.

Results
Space-group type   Pmm2, No. 25

a b c (Å): 2.717 3.861 5.458
angles (deg): 90.00 90.00 90.00
Fractional positions:
Tc 0.000 0.000 0.000
Ru 0.000 0.000 0.547
Ru 0.500 0.500 0.778
Au 0.500 0.500 0.276

=====

Density functional theory data (SCAN) for a crystal of TcRuAu2 relaxed with PBEsol.

Results
Space-group type   Cmmm, No. 65

a b c (Å): 4.926 4.926 2.735
angles (deg): 90.00 90.00 114.32
Fractional positions:
Tc 0.000 0.000 0.000
Ru 0.500 0.500 0.000
Au 0.000 0.500 0.500
Au 0.500 0.000 0.500

=====

Density functional theory data (SCAN) for a crystal of TcRuAu2 relaxed with PBEsol.

Results
Space-group type   Pmm2, No. 25

a b c (Å): 2.803 3.805 5.696
angles (deg): 90.00 90.00 90.00
Fractional positions:
Tc 0.000 0.000 0.000
Ru 0.500 0.500 0.800
Au 0.000 0.000 0.529
Au 0.500 0.500 0.269

=====

| no. | energy relative to the lowest polymorph listed for this composition (meV per atom) | DFT formation energy (eV per atom) |
| --- | --- | --- |
| 1 | 0 | 0.23 |
| 2 | 259 | 0.46 |
| 3 | 0 | 0.20 |